{
  "formula": "CrFeAs2O8",
  "functional": "GGA+U",
  "state": "relaxed",
  "total_energy_ev_per_atom": -6.242,
  "space_group": "I-4m2 (119)",
  "magnetic_moment_mub_per_fu": 6.00,
  "mass_density_g_cm3": 4.58,
  "cell": [[-3.4057, 3.4057, 3.0151], [3.4057, -3.4057, 3.0151], [3.4057, 3.4057, -3.0151]],
  "species": ["Cr", "Fe", "As", "As", "O", "O", "O", "O", "O", "O", "O", "O"],
  "frac_coords": [[0.0000, 0.0000, 0.0000], [0.7500, 0.2500, 0.5000], [0.2500, 0.7500, 0.5000], [0.5000, 0.5000, 0.0000], [0.0572, 0.3726, 0.3154], [0.0572, 0.7418, 0.6846], [0.1182, 0.3022, 0.8159], [0.2582, 0.9428, 0.3154], [0.4863, 0.3022, 0.1841], [0.6274, 0.9428, 0.6846], [0.6978, 0.5137, 0.8159], [0.6978, 0.8818, 0.1841]]
}